# TcAgSb

A geometry-optimized TcAgSb structure (PBE, the Alexandria database).

Results
Formation energy from raw total energies (eV per atom): 0.39
Total magnetic moment (μB/atom): 0.26
Relative energy among the computed polymorphs (meV/atom): 0.0

Lattice parameters (Å, degrees): 5.466 5.466 5.466 144.06 144.06 51.74
Element x y z (fractional)
Tc (0.000, 0.000, 0.000)
Ag (0.320, 0.320, 0.000)
Sb (0.633, 0.633, 0.000)